[1]
Entry from the Alexandria database: TlZnRu2 after structural relaxation (PBE).

a = 4.5876 Å, b = 4.5876 Å, c = 5.2750 Å
α = 79.79°, β = 79.79°, γ = 37.24°
With the nearest neighbours (Å) after each atom.
Positions (direct):
Ru 0.9941 0.9941 0.0421  3 Zn 2.64-2.66, 4 Ru 2.66-2.93, 3 Tl 2.85-2.86
Ru 0.5059 0.5059 0.4579  3 Zn 2.64-2.66, 4 Ru 2.66-2.93, 3 Tl 2.85-2.86
Tl 0.7500 0.7500 0.7500  6 Ru 2.85-2.86, 2 Tl 2.93, 4 Zn 3.02
Zn 0.2500 0.2500 0.2500  6 Ru 2.64-2.66, 2 Zn 2.93

The crystal system is monoclinic. Its total moment is 0.0 μB per formula unit. Its formation energy from the elements is 1.49 eV/f.u. The calculation puts the energy relative to the lowest polymorph listed for this composition at 122 meV/atom.



[2]
Entry from the Alexandria database: TmLuTl2 after structural relaxation (PBE).

a = 3.6781 Å, b = 3.6781 Å, c = 9.7864 Å
α = 79.17°, β = 79.17°, γ = 60.00°
With the nearest neighbours (Å) after each atom.
Positions (direct):
Tl 0.7496 0.7496 0.7511  3 Lu 3.19, 3 Tm 3.20
Tl 0.2504 0.2504 0.2489  3 Lu 3.19, 3 Tm 3.20
Lu 0.0000 0.0000 0.0000  6 Tl 3.19
Tm 0.5000 0.5000 0.5000  6 Tl 3.20

The crystal system is trigonal. Its total moment is 0.0 μB per formula unit. Its formation energy from the elements is -0.93 eV/f.u. The calculation puts the energy relative to the lowest polymorph listed for this composition at 48 meV/atom.



[3]
Entry from the Alexandria database: Cs2RbSeBr6 after structural relaxation (PBE).

a = 8.2426 Å, b = 8.2426 Å, c = 8.6810 Å
α = 61.66°, β = 61.66°, γ = 90.00°
With the nearest neighbours (Å) after each atom.
Positions (direct):
Cs 0.7500 0.2500 0.5000  12 Br 4.12-4.35
Cs 0.2500 0.7500 0.5000  12 Br 4.12-4.35
Se 0.5000 0.5000 0.0000  4 Br 2.57
Br 0.2543 0.2543 0.4915  1 Se 3.16, 1 Rb 3.27
Br 0.7457 0.7457 0.5085  1 Se 3.16, 1 Rb 3.27
Br 0.2795 0.2795 0.0000  1 Se 2.57
Br 0.7205 0.7205 0.0000  1 Se 2.57
Br 0.7205 0.2795 0.0000  1 Se 2.57
Br 0.2795 0.7205 0.0000  1 Se 2.57
Rb 0.0000 0.0000 0.0000  6 Br 3.26-3.27

The crystal system is tetragonal. For the uncorrected formation energy, the calculation gives -1.05 eV per atom. Its total moment is 1.0 μB per formula unit. The calculation puts the energy relative to the lowest polymorph listed for this composition at 0 meV/atom.



Volume across the listed records, respectively: 65.99 111.92 437.10 Å³/f.u..